(1)
Below is a geometry-optimized NiPt2 structure, with properties calculated at the GGA-PBE level.

- DOS(E_F): 4.00 states/eV/f.u.
- Size of the total moment: 0.00 μB/f.u.
- Energy of formation from the pure elements: 148 kJ/mol of formula units
- Symmetry: Pa-3

a b c (Å): 5.8022 5.8022 5.8022
angles (deg): 90.00 90.00 90.00
Positions (direct):
Ni 0.0000 0.0000 0.0000
Ni 0.0000 0.5000 0.5000
Ni 0.5000 0.0000 0.5000
Ni 0.5000 0.5000 0.0000
Pt 0.1318 0.6318 0.8682
Pt 0.1318 0.8682 0.3682
Pt 0.3682 0.1318 0.8682
Pt 0.3682 0.3682 0.3682
Pt 0.6318 0.6318 0.6318
Pt 0.6318 0.8682 0.1318
Pt 0.8682 0.1318 0.6318
Pt 0.8682 0.3682 0.1318

---

(2)
Below is a geometry-optimized Ni5Pt7 structure, with properties calculated at the GGA-PBE level.

- DOS(E_F): 19.78 states/eV/f.u.
- Size of the total moment: 6.22 μB/f.u.
- Energy of formation from the pure elements: -68 kJ/mol of formula units
- Symmetry: C2

a b c (Å): 7.1473 7.1473 4.6904
angles (deg): 90.44 90.44 44.29
Positions (direct):
Ni 0.0000 0.0000 0.0000
Ni 0.1626 0.1699 0.3305
Ni 0.5821 0.0832 0.1647
Ni 0.8301 0.8374 0.6695
Ni 0.9168 0.4179 0.8353
Pt 0.0717 0.5923 0.1547
Pt 0.2463 0.7537 0.5000
Pt 0.3297 0.3271 0.6573
Pt 0.4077 0.9283 0.8453
Pt 0.5106 0.4894 0.0000
Pt 0.6729 0.6703 0.3427
Pt 0.7611 0.2389 0.5000

---

Repeat the second record exactly.
Below is a geometry-optimized Ni5Pt7 structure, with properties calculated at the GGA-PBE level.

- DOS(E_F): 19.78 states/eV/f.u.
- Size of the total moment: 6.22 μB/f.u.
- Energy of formation from the pure elements: -68 kJ/mol of formula units
- Symmetry: C2

a b c (Å): 7.1473 7.1473 4.6904
angles (deg): 90.44 90.44 44.29
Positions (direct):
Ni 0.0000 0.0000 0.0000
Ni 0.1626 0.1699 0.3305
Ni 0.5821 0.0832 0.1647
Ni 0.8301 0.8374 0.6695
Ni 0.9168 0.4179 0.8353
Pt 0.0717 0.5923 0.1547
Pt 0.2463 0.7537 0.5000
Pt 0.3297 0.3271 0.6573
Pt 0.4077 0.9283 0.8453
Pt 0.5106 0.4894 0.0000
Pt 0.6729 0.6703 0.3427
Pt 0.7611 0.2389 0.5000

---

- Which of these has the highest size of the total moment?
  Ni5Pt7

---

Repeat the first record exactly.
Below is a geometry-optimized NiPt2 structure, with properties calculated at the GGA-PBE level.

- DOS(E_F): 4.00 states/eV/f.u.
- Size of the total moment: 0.00 μB/f.u.
- Energy of formation from the pure elements: 148 kJ/mol of formula units
- Symmetry: Pa-3

a b c (Å): 5.8022 5.8022 5.8022
angles (deg): 90.00 90.00 90.00
Positions (direct):
Ni 0.0000 0.0000 0.0000
Ni 0.0000 0.5000 0.5000
Ni 0.5000 0.0000 0.5000
Ni 0.5000 0.5000 0.0000
Pt 0.1318 0.6318 0.8682
Pt 0.1318 0.8682 0.3682
Pt 0.3682 0.1318 0.8682
Pt 0.3682 0.3682 0.3682
Pt 0.6318 0.6318 0.6318
Pt 0.6318 0.8682 0.1318
Pt 0.8682 0.1318 0.6318
Pt 0.8682 0.3682 0.1318